(1)
PrEr2Ag2 (GGA-PBE, optimized geometry); relative energy among the computed polymorphs = 0.025 eV/atom; formation energy from the elements = -0.109 eV/atom; total magnetization = 0.59 μB/f.u.
1.0
3.579 0.000 0.000
0.000 3.542 0.671
0.000 -0.204 10.760
Pr Ag Er
1 2 2
direct
0.000 0.000 0.000 Pr
0.500 0.600 0.799 Ag
0.500 0.400 0.201 Ag
0.000 0.179 0.642 Er
0.000 0.821 0.358 Er

(2)
Hf3MgCo (GGA-PBE, optimized geometry); relative energy among the computed polymorphs = 0.000 eV/atom; formation energy from the elements = 0.198 eV/atom; total magnetization = 0.00 μB/f.u.
1.0
4.818 0.000 0.000
0.000 4.818 0.000
0.000 0.000 4.818
Hf Co Mg
3 1 1
direct
0.500 0.000 0.000 Hf
0.000 0.000 0.500 Hf
0.000 0.500 0.000 Hf
0.000 0.000 0.000 Co
0.500 0.500 0.500 Mg

(3)
NbBSe4 (GGA-PBE, optimized geometry); uncorrected energy = -5.197 eV per atom; total magnetization = 0.00 μB/f.u.
1.0
5.062 0.000 0.000
-2.531 6.415 -0.031
0.000 -2.046 10.445
Nb Se B
2 8 2
direct
0.797 0.595 0.797 Nb
0.203 0.405 0.203 Nb
0.948 0.895 0.679 Se
0.885 0.770 0.011 Se
0.052 0.105 0.321 Se
0.235 0.470 0.726 Se
0.115 0.230 0.989 Se
0.400 0.800 0.228 Se
0.600 0.200 0.772 Se
0.765 0.530 0.274 Se
0.904 0.808 0.207 B
0.096 0.192 0.793 B

(4)
NaNbInN2 (GGA-PBE, optimized geometry); uncorrected energy = -4.036 eV per atom; total magnetization = 0.00 μB/f.u.
1.0
-2.535 -2.038 -2.591
-2.222 -1.868 3.643
-2.633 3.218 0.044
N Na Nb In
2 1 1 1
direct
0.000 0.000 0.500 N
0.500 0.000 0.000 N
0.000 0.000 0.000 Na
0.500 0.500 0.500 Nb
0.000 0.500 0.000 In